(1)
Tb2AlBr: relaxed, PBE.

Calculated values
Formation energy without anion corrections ... -63.2 kJ per mole of atoms
V ... 25.0 Å³ per atom
N(E_F) ... 2.848 states/eV/cell
Energy above the most stable polymorph in this dataset ... 19.2 meV/atom

a b c (Å): 3.4535 3.4535 8.3692
angles (deg): 90.00 90.00 90.00
Atoms (fractional coordinates):
Br  0.5000  0.5000  0.5000
Al  0.5000  0.5000  0.0000
Tb  0.0000  0.0000  0.2266
Tb  0.0000  0.0000  0.7734

***

(2)
Tb2AlBr: relaxed, PBE.

Calculated values
Formation energy without anion corrections ... -65.1 kJ per mole of atoms
V ... 25.8 Å³ per atom
N(E_F) ... 1.848 states/eV/cell
Energy above the most stable polymorph in this dataset ... 0.0 meV/atom

a b c (Å): 3.6800 3.6800 9.0672
angles (deg): 78.29 78.29 60.00
Atoms (fractional coordinates):
Br  0.4989  0.4989  0.5033
Al  0.6672  0.6672  0.9985
Tb  0.2533  0.2533  0.2402
Tb  0.0807  0.0807  0.7580

***

(3)
AlTc2Br: relaxed, PBE.

Calculated values
Formation energy without anion corrections ... 61.9 kJ per mole of atoms
V ... 16.4 Å³ per atom
N(E_F) ... 4.683 states/eV/cell
Energy above the most stable polymorph in this dataset ... 634.7 meV/atom

a b c (Å): 5.4066 5.4066 5.4066
angles (deg): 149.22 124.93 64.43
Last column: magnetic moment on the atom in μB.
Atoms (fractional coordinates):
Tc  0.5009  0.5009  0.0000  0.61
Br  0.2500  0.7500  0.5000  0.03
Tc  0.9991  0.9991  0.0000  0.61
Al  0.7500  0.2500  0.5000  -0.01

***

(4)
AlTc2Br: relaxed, PBE.

Calculated values
Formation energy without anion corrections ... 8.4 kJ per mole of atoms
V ... 17.9 Å³ per atom
N(E_F) ... 1.544 states/eV/cell
Energy above the most stable polymorph in this dataset ... 81.0 meV/atom

a b c (Å): 3.0294 3.0294 7.8060
angles (deg): 90.00 90.00 90.00
Atoms (fractional coordinates):
Tc  0.5000  0.5000  0.2380
Tc  0.0000  0.0000  0.0370
Al  0.0000  0.0000  0.4235
Br  0.5000  0.5000  0.8015

***

(5)
AlTc2Br: relaxed, PBE.

Calculated values
Formation energy without anion corrections ... 0.6 kJ per mole of atoms
V ... 17.7 Å³ per atom
N(E_F) ... 2.546 states/eV/cell
Energy above the most stable polymorph in this dataset ... 0.0 meV/atom

a b c (Å): 3.0418 3.0630 7.5984
angles (deg): 89.98 90.00 90.00
Atoms (fractional coordinates):
Tc  0.5000  0.2501  0.2415
Br  0.5000  0.7499  0.7629
Al  0.0000  0.7498  0.4459
Tc  0.0000  0.7502  0.0497

***

(6)
AlTc2Br: relaxed, PBE.

Calculated values
Formation energy without anion corrections ... 60.8 kJ per mole of atoms
V ... 16.2 Å³ per atom
N(E_F) ... 4.700 states/eV/cell
Energy above the most stable polymorph in this dataset ... 623.8 meV/atom

a b c (Å): 2.9301 4.9444 4.4789
angles (deg): 90.00 90.00 90.00
Last column: magnetic moment on the atom in μB.
Atoms (fractional coordinates):
Br  0.0000  0.5000  0.5000  0.02
Tc  0.0000  0.0000  0.0000  0.72
Al  0.5000  0.0000  0.5000  -0.01
Tc  0.5000  0.5000  0.0000  0.26

***

(7)
AlTc2Br: relaxed, PBE.

Calculated values
Formation energy without anion corrections ... 61.2 kJ per mole of atoms
V ... 15.2 Å³ per atom
N(E_F) ... 3.443 states/eV/cell
Energy above the most stable polymorph in this dataset ... 627.9 meV/atom

a b c (Å): 4.4146 4.4146 4.4146
angles (deg): 60.00 60.00 60.00
Atoms (fractional coordinates):
Tc  0.7500  0.7500  0.7500
Br  0.5000  0.5000  0.5000
Tc  0.2500  0.2500  0.2500
Al  0.0000  0.0000  0.0000

***

(8)
Al2TcBr8: relaxed, PBE.

Calculated values
Formation energy without anion corrections ... -74.7 kJ per mole of atoms
V ... 36.7 Å³ per atom
N(E_F) ... 1.435 states/eV/cell

a b c (Å): 6.3416 8.0761 8.0761
angles (deg): 77.83 86.69 86.69
Last column: magnetic moment on the atom in μB.
Atoms (fractional coordinates):
Br  0.2808  0.3609  0.3609  0.00
Tc  0.0000  0.0000  0.0000  0.84
Br  0.7664  0.0872  0.7376  0.00
Br  0.2436  0.8253  0.8253  0.01
Br  0.7192  0.6391  0.6391  0.00
Al  0.6221  0.8170  0.8170  0.00
Br  0.7564  0.1747  0.1747  0.01
Br  0.7664  0.7376  0.0872  0.00
Br  0.2336  0.2624  0.9128  0.00
Br  0.2336  0.9128  0.2624  0.00
Al  0.3779  0.1830  0.1830  0.00

***

(9)
AlTcBr4: relaxed, PBE.

Calculated values
Formation energy without anion corrections ... 107.0 kJ per mole of atoms
V ... 30.0 Å³ per atom
N(E_F) ... 6.739 states/eV/cell

a b c (Å): 6.3387 6.3387 6.3387
angles (deg): 60.00 60.00 60.00
Last column: magnetic moment on the atom in μB.
Atoms (fractional coordinates):
Br  0.3761  0.3761  0.8718  -0.23
Al  0.0000  0.0000  0.0000  0.02
Br  0.8718  0.3761  0.3761  -0.23
Br  0.3761  0.8718  0.3761  -0.23
Br  0.3761  0.3761  0.3761  -0.23
Tc  0.7500  0.7500  0.7500  3.98

***

(10)
AlTc2Br: relaxed, PBE.

Calculated values
Formation energy without anion corrections ... 63.3 kJ per mole of atoms
V ... 16.2 Å³ per atom
N(E_F) ... 4.037 states/eV/cell
Energy above the most stable polymorph in this dataset ... 649.9 meV/atom

a b c (Å): 4.6640 5.1732 3.1570
angles (deg): 75.46 83.11 114.47
Atoms (fractional coordinates):
Tc  0.0000  0.0000  0.0000
Al  0.0000  0.5000  0.5000
Tc  0.5000  0.0000  0.5000
Br  0.5000  0.5000  0.0000

***

(11)
AlTc2Br: relaxed, PBE.

Calculated values
Formation energy without anion corrections ... 40.7 kJ per mole of atoms
V ... 15.9 Å³ per atom
N(E_F) ... 5.917 states/eV/cell
Energy above the most stable polymorph in this dataset ... 415.1 meV/atom

a b c (Å): 8.6443 8.6443 8.6443
angles (deg): 19.58 19.58 19.58
Last column: magnetic moment on the atom in μB.
Atoms (fractional coordinates):
Tc  0.0011  0.0011  0.0011  0.40
Tc  0.4989  0.4989  0.4989  0.40
Al  0.7500  0.7500  0.7500  0.00
Br  0.2500  0.2500  0.2500  0.01

***

(12)
AlTc2Br: relaxed, PBE.

Calculated values
Formation energy without anion corrections ... 56.9 kJ per mole of atoms
V ... 16.4 Å³ per atom
N(E_F) ... 5.335 states/eV/cell
Energy above the most stable polymorph in this dataset ... 582.8 meV/atom

a b c (Å): 2.9260 2.9260 8.7377
angles (deg): 90.00 90.00 118.74
Last column: magnetic moment on the atom in μB.
Atoms (fractional coordinates):
Tc  0.0000  0.0000  0.4899  0.72
Tc  0.0000  0.0000  0.0101  0.72
Al  0.5000  0.5000  0.2500  -0.01
Br  0.5000  0.5000  0.7500  0.04

***

Question: Look up the V of the twelfth one.
Answer: 16.4 Å³ per atom

***

Question: What is the formula in the ninth record?
Answer: AlTcBr4

***

Question: Look up the V of the twelfth one.
Answer: 16.4 Å³ per atom